1.
DFT (PBE) results for a relaxed BaInCoSn2 crystal.

a b c (Å): 5.1036 5.1036 5.1169
angles (deg): 90.00 90.00 90.00
Closest atoms and distances in Å follow each position.
Space group P4/mmm (No. 123)
Unique sites:
Ba 0.0000 0.0000 0.0000 [1 per cell]  4 In 3.61, 8 Sn 3.61
In 0.5000 0.5000 0.0000 [1 per cell]  2 Co 2.56
Co 0.5000 0.5000 0.5000 [1 per cell]  4 Sn 2.55, 2 In 2.56
Sn 0.0000 0.5000 0.5000 [2 per cell]  2 Co 2.55


2.
DFT (PBE) results for a relaxed BaIn2CoSn crystal.

a b c (Å): 5.0931 5.0931 5.0761
angles (deg): 90.00 90.00 90.00
Closest atoms and distances in Å follow each position.
Space group P4/mmm (No. 123)
Unique sites:
Ba 0.0000 0.0000 0.0000 [1 per cell]  8 In 3.60, 4 Sn 3.60
In 0.0000 0.5000 0.5000 [2 per cell]  2 Co 2.55
Co 0.5000 0.5000 0.5000 [1 per cell]  2 Sn 2.54, 4 In 2.55
Sn 0.5000 0.5000 0.0000 [1 per cell]  2 Co 2.54


Computed calculated total energy (eV for the cell shown) in order:
-20.8 -19.6
Computed formation energy (kJ per mole of atoms) in order:
-19.2 -21.7